(1)
DFT (PBE) results for an optimized crystal structure of RbNiSb2I.

The space group is P4/mmm (No. 123) and the conventional cell measures 4.859, 4.859 and 9.655 Å, with angles of 90.00, 90.00 and 90.00 degrees. The asymmetric unit holds Rb at (0.000, 0.000, 0.000), Ni at (0.500, 0.500, 0.500), Sb at (0.000, 0.500, 0.500) and I at (0.500, 0.500, 0.000).

For the total energy, the calculation gives -17.4 eV/cell. As for the total magnetization: 0.00 μB/cell. The formation energy from raw total energies comes out at -0.18 eV per atom.

***

(2)
DFT (PBE) results for an optimized crystal structure of TcOs2Au.

The space group is C2/m (No. 12) and the conventional cell measures 9.223, 2.770 and 4.826 Å, with angles of 90.00, 99.88 and 90.00 degrees. The asymmetric unit holds Tc at (0.000, 0.000, 0.000), Os at (0.241, 0.500, 0.228) and Au at (0.000, 0.500, 0.500).

For the total energy, the calculation gives -69.4 eV/cell. As for the total magnetization: 0.00 μB/cell. The formation energy comes out at 0.355 eV/atom.

***

(3)
DFT (PBE) results for an optimized crystal structure of Dy2Be3Cu12Ge.

The space group is R-3m (No. 166, hexagonal axes) and the conventional cell measures 7.5127, 7.5127 and 17.4948 Å, with angles of 90.00, 90.00 and 120.00 degrees. The asymmetric unit holds Dy at (0.0000, 0.0000, 0.1016), Be at (0.0000, 0.5000, 0.0000), Cu at (0.0132, 0.5066, 0.8788), Cu at (0.0391, 0.5195, 0.3586) and Ge at (0.0000, 0.0000, 0.5000).

For the total energy, the calculation gives -206.3 eV/cell. As for the total magnetization: 0.00 μB/cell. The formation energy comes out at 0.299 eV/atom.

***

(4)
DFT (PBE) results for an optimized crystal structure of Li4S.

The space group is Pm-3m (No. 221) and the conventional cell measures 4.734, 4.734 and 4.734 Å, with angles of 90.00, 90.00 and 90.00 degrees. The asymmetric unit holds Li at (0.000, 0.000, 0.000), Li at (0.000, 0.500, 0.500) and S at (0.500, 0.500, 0.500).

For the total energy, the calculation gives -14.5 eV/cell. As for the total magnetization: 0.00 μB/cell. The formation energy from raw total energies comes out at -0.55 eV per atom.

***

- Which value of total magnetization does entry 3 give?
  0.00 μB/cell